[1]
Material: NaPmErTl
Method: DFT, PBE
State: optimized geometry

abc: 5.447 5.447 5.447
angles: 60.00 60.00 60.00
Fractional coordinates of all 4 atoms:
Na: 0.000 0.000 0.000
Er: 0.250 0.250 0.250
Pm: 0.750 0.750 0.750
Tl: 0.500 0.500 0.500

crystal system = cubic
calculated formation energy = -0.06 eV per atom
total energy = -13.2 eV per cell
D(E_F) = 1.1546 states/eV per atom



[2]
Material: TiMn2Tc
Method: DFT, PBE
State: optimized geometry

abc: 2.945 4.183 4.183
angles: 90.00 90.00 90.00
Fractional coordinates of all 4 atoms:
Mn: 0.000 0.000 0.500
Mn: 0.000 0.500 0.000
Tc: 0.500 0.000 0.000
Ti: 0.500 0.500 0.500

excess energy over the best structure of this formula in the dataset = 0.000 eV per atom
crystal system = tetragonal
calculated formation energy = -0.14 eV per atom
total energy = -37.1 eV per cell
D(E_F) = 0.7263 states/eV per atom



[3]
Material: LuBiAu2
Method: DFT, PBE
State: optimized geometry

abc: 3.533 3.533 7.433
angles: 90.00 90.00 90.00
Fractional coordinates of all 4 atoms:
Au: 0.000 0.000 0.779
Au: 0.000 0.000 0.221
Bi: 0.500 0.500 0.500
Lu: 0.500 0.500 0.000

crystal system = tetragonal
calculated formation energy = -0.57 eV per atom
total energy = -17.2 eV per cell
D(E_F) = 0.4855 states/eV per atom



[4]
Material: Sm5Ge6
Method: DFT, PBE
State: optimized geometry

abc: 4.381 4.051 14.903
angles: 97.81 90.00 90.00
Fractional coordinates of all 11 atoms:
Sm: 0.000 0.614 0.228
Sm: 0.000 0.386 0.772
Sm: 0.000 0.000 0.000
Sm: 0.500 0.199 0.398
Sm: 0.500 0.801 0.602
Ge: 0.500 0.901 0.803
Ge: 0.500 0.099 0.197
Ge: 0.000 0.281 0.561
Ge: 0.500 0.542 0.084
Ge: 0.500 0.458 0.916
Ge: 0.000 0.719 0.439

crystal system = orthorhombic
calculated formation energy = -0.79 eV per atom
total energy = -60.0 eV per cell
D(E_F) = 0.5221 states/eV per atom



[5]
Material: Cd2GaIr
Method: DFT, PBE
State: optimized geometry

abc: 2.820 2.820 11.398
angles: 82.89 82.89 60.00
Fractional coordinates of all 4 atoms:
Ir: 0.000 0.000 0.000
Ga: 0.500 0.500 0.500
Cd: 0.917 0.917 0.248
Cd: 0.083 0.083 0.752

crystal system = trigonal
calculated formation energy = 0.34 eV per atom
total energy = -12.4 eV per cell
D(E_F) = 0.7915 states/eV per atom



[6]
Material: In4Bi5N2
Method: DFT, PBE
State: optimized geometry

abc: 3.391 11.421 7.605
angles: 100.75 102.88 90.00
Fractional coordinates of all 11 atoms:
In: 0.342 0.464 0.684
In: 0.658 0.536 0.316
In: 0.980 0.348 0.960
In: 0.020 0.652 0.040
Bi: 0.164 0.240 0.327
Bi: 0.834 0.109 0.667
Bi: 0.166 0.891 0.333
Bi: 0.500 0.000 0.000
Bi: 0.836 0.760 0.673
N: 0.728 0.381 0.457
N: 0.272 0.619 0.543

formation energy from raw total energies = 300 meV/atom
crystal system = monoclinic
total energy = -43.7 eV per cell
D(E_F) = 0.3879 states/eV per atom



[7]
Material: PuUOsRh
Method: DFT, PBE
State: optimized geometry

abc: 4.615 4.615 4.615
angles: 60.00 60.00 60.00
Each line ends with the local moment (μB).
Fractional coordinates of all 4 atoms:
Pu: 0.750 0.750 0.750  4.11
Rh: 0.000 0.000 0.000  -0.31
U: 0.500 0.500 0.500  0.38
Os: 0.250 0.250 0.250  -0.41

crystal system = cubic
calculated formation energy = -0.28 eV per atom
total energy = -45.3 eV per cell
D(E_F) = 1.6638 states/eV per atom



[8]
Material: Sr3In2Rh2
Method: DFT, PBE
State: optimized geometry

abc: 6.232 8.481 14.796
angles: 90.00 90.00 90.00
Fractional coordinates of all 28 atoms:
Rh: 0.640 0.032 0.908
Rh: 0.640 0.468 0.092
Rh: 0.360 0.968 0.092
Rh: 0.640 0.032 0.592
Rh: 0.360 0.532 0.592
Rh: 0.360 0.532 0.908
Rh: 0.640 0.468 0.408
Rh: 0.360 0.968 0.408
Sr: 0.625 0.750 0.250
Sr: 0.849 0.100 0.093
Sr: 0.849 0.400 0.907
Sr: 0.849 0.100 0.407
Sr: 0.375 0.250 0.750
Sr: 0.151 0.600 0.407
Sr: 0.151 0.600 0.093
Sr: 0.625 0.750 0.750
Sr: 0.849 0.400 0.593
Sr: 0.375 0.250 0.250
Sr: 0.151 0.900 0.593
Sr: 0.151 0.900 0.907
In: 0.615 0.750 0.500
In: 0.852 0.098 0.750
In: 0.385 0.250 0.000
In: 0.385 0.250 0.500
In: 0.148 0.598 0.750
In: 0.148 0.902 0.250
In: 0.852 0.402 0.250
In: 0.615 0.750 0.000

crystal system = orthorhombic
calculated formation energy = -0.45 eV per atom
total energy = -113.5 eV per cell
D(E_F) = 0.5233 states/eV per atom